InPbN2O | PBE | relaxed

Calculated values
Density of states at the Fermi level in states/eV per atom: 0.370
Total magnetic moment in μB/atom: 0.594
Uncorrected formation energy in eV per atom: 0.81

a b c (Å): 4.3722 4.3722 4.3100
angles (deg): 90.00 90.00 90.00
With the nearest neighbours (Å) after each atom.
Space group P4/mmm (No. 123)
Inequivalent atoms, fractional coordinates:
In  0.0000  0.0000  0.0000  2 O 2.15, 4 N 2.19
Pb  0.5000  0.5000  0.5000  8 N 3.07, 4 O 3.09
N  0.0000  0.5000  0.0000  2 In 2.19
O  0.0000  0.0000  0.5000  2 In 2.15